Density functional theory data (PBE) for a relaxed Mg3Cd3Ag2 crystal.

Cell lengths 3.4017, 7.4858, 7.4858 Å; angles 120.00, 90.00, 90.00 degrees
With the nearest neighbours (Å) after each atom.
Fractional coordinates of all 8 atoms:
Cd  0.0000  0.7681  0.7681  2 Ag 2.95, 2 Cd 3.01, 6 Mg 3.16-3.18
Cd  0.0000  0.2319  0.0000  2 Ag 2.95, 2 Cd 3.01, 6 Mg 3.16-3.18
Cd  0.0000  0.0000  0.2319  2 Ag 2.95, 2 Cd 3.01, 6 Mg 3.16-3.18
Mg  0.5000  0.0000  0.5907  4 Ag 2.83, 4 Cd 3.16
Mg  0.5000  0.4093  0.4093  4 Ag 2.83, 4 Cd 3.16
Mg  0.5000  0.5907  0.0000  4 Ag 2.83, 4 Cd 3.16
Ag  0.0000  0.6667  0.3333  6 Mg 2.83, 3 Cd 2.95
Ag  0.0000  0.3333  0.6667  6 Mg 2.83, 3 Cd 2.95

Output
Formation energy from the elements ... -3.09 kcal/mol of atoms

Density functional theory data (PBE) for a relaxed Gd3CoTe crystal.

Cell lengths 5.2034, 5.2034, 5.2034 Å; angles 90.00, 90.00, 90.00 degrees
With the nearest neighbours (Å) after each atom.
Fractional coordinates of all 5 atoms:
Gd  0.5000  0.0000  0.0000  2 Co 2.60
Gd  0.0000  0.5000  0.0000  2 Co 2.60
Gd  0.0000  0.0000  0.5000  2 Co 2.60
Co  0.0000  0.0000  0.0000  6 Gd 2.60
Te  0.5000  0.5000  0.5000  12 Gd 3.68

Output
Energy relative to the elements, uncorrected ... -456 meV/atom

Density functional theory data (PBE) for a relaxed Tl3FeRh crystal.

Cell lengths 5.2571, 5.2571, 5.2571 Å; angles 90.00, 90.00, 90.00 degrees
With the nearest neighbours (Å) after each atom.
Fractional coordinates of all 5 atoms:
Rh  0.0000  0.0000  0.0000  6 Tl 2.63
Tl  0.0000  0.0000  0.5000  2 Rh 2.63
Tl  0.0000  0.5000  0.0000  2 Rh 2.63
Tl  0.5000  0.0000  0.0000  2 Rh 2.63
Fe  0.5000  0.5000  0.5000  12 Tl 3.72

Output
Offset from the most stable computed form ... 0.000 eV per atom
Formation energy from the elements ... 15.79 kcal/mol of atoms

Density functional theory data (PBE) for a relaxed TaAsSe crystal.

Cell lengths 4.4923, 4.4923, 4.4923 Å; angles 60.00, 60.00, 60.00 degrees
With the nearest neighbours (Å) after each atom.
Fractional coordinates of all 3 atoms:
As  0.0000  0.0000  0.0000  4 Ta 2.75
Ta  0.2500  0.2500  0.2500  4 Se 2.75, 4 As 2.75
Se  0.5000  0.5000  0.5000  4 Ta 2.75

Output
Energy relative to the elements, uncorrected ... -4 meV/atom

Density functional theory data (PBE) for a relaxed CsTlTe4 crystal.

Cell lengths 6.7253, 6.7253, 6.7253 Å; angles 60.00, 60.00, 60.00 degrees
With the nearest neighbours (Å) after each atom.
Fractional coordinates of all 6 atoms:
Tl  0.0000  0.0000  0.0000  12 Te 3.94, 4 Cs 4.12
Te  0.6257  0.1228  0.6257  6 Te 3.34-3.38
Te  0.1228  0.6257  0.6257  6 Te 3.34-3.38
Te  0.6257  0.6257  0.6257  6 Te 3.34-3.38
Te  0.6257  0.6257  0.1228  6 Te 3.34-3.38
Cs  0.2500  0.2500  0.2500  12 Te 3.95, 4 Tl 4.12

Output
Offset from the most stable computed form ... 0.118 eV per atom
Energy relative to the elements, uncorrected ... -214 meV/atom

Density functional theory data (PBE) for a relaxed Pa2B5Os crystal.

Cell lengths 5.2616, 5.2616, 5.2616 Å; angles 86.48, 122.05, 122.05 degrees
With the nearest neighbours (Å) after each atom.
Fractional coordinates of all 8 atoms:
Pa  0.5000  0.7401  0.2401  10 B 2.61-2.74
Pa  0.5000  0.2401  0.7401  10 B 2.61-2.74
B  0.0000  0.6587  0.3016  3 B 1.81-1.82
B  0.0000  0.3016  0.6587  3 B 1.81-1.82
B  0.6429  0.3016  0.3016  3 B 1.81-1.82
B  0.3571  0.6587  0.6587  3 B 1.81-1.82
B  0.0000  0.3138  0.3138  4 B 1.81
Os  0.0000  0.0073  0.0073  5 B 2.33-2.35

Output
Formation energy from the elements ... -10.76 kcal/mol of atoms

Density functional theory data (PBE) for a relaxed MgCd3Hg6 crystal.

Cell lengths 6.6417, 8.9966, 8.9966 Å; angles 108.20, 90.00, 90.00 degrees
With the nearest neighbours (Å) after each atom.
Fractional coordinates of all 20 atoms:
Hg  0.2169  0.7620  0.2380  1 Mg 2.94, 3 Cd 3.02-3.26, 1 Hg 3.14
Hg  0.3084  0.4724  0.8987  1 Mg 2.93, 3 Cd 2.98-3.09, 1 Hg 2.98
Hg  0.7973  0.0254  0.9746  2 Mg 2.96, 4 Cd 3.01-3.10, 1 Hg 3.14
Hg  0.2973  0.9746  0.0254  2 Mg 2.96, 4 Cd 3.01-3.10, 1 Hg 3.14
Hg  0.7169  0.2380  0.7620  1 Mg 2.94, 3 Cd 3.02-3.26, 1 Hg 3.14
Hg  0.6132  0.5880  0.7174  2 Hg 2.98-3.22, 4 Cd 3.00-3.26
Hg  0.8084  0.5276  0.1013  1 Mg 2.93, 3 Cd 2.98-3.09, 1 Hg 2.98
Hg  0.1132  0.4120  0.2826  2 Hg 2.98-3.22, 4 Cd 3.00-3.26
Hg  0.1132  0.7174  0.5880  2 Hg 2.98-3.22, 4 Cd 3.00-3.26
Hg  0.3084  0.1013  0.5276  1 Mg 2.93, 3 Cd 2.98-3.09, 1 Hg 2.98
Hg  0.8084  0.8987  0.4724  1 Mg 2.93, 3 Cd 2.98-3.09, 1 Hg 2.98
Hg  0.6132  0.2826  0.4120  2 Hg 2.98-3.22, 4 Cd 3.00-3.26
Mg  0.6271  0.8378  0.1622  5 Hg 2.93-2.96, 2 Cd 3.28
Mg  0.1271  0.1622  0.8378  5 Hg 2.93-2.96, 2 Cd 3.28
Cd  0.4867  0.2934  0.0946  7 Hg 2.98-3.26, 1 Cd 3.24, 1 Mg 3.28
Cd  0.5273  0.6104  0.3896  7 Hg 3.02-3.26, 2 Cd 3.24, 1 Mg 3.38
Cd  0.0273  0.3896  0.6104  7 Hg 3.02-3.26, 2 Cd 3.24, 1 Mg 3.38
Cd  0.9867  0.0946  0.2934  7 Hg 2.98-3.26, 1 Cd 3.24, 1 Mg 3.28
Cd  0.4867  0.9054  0.7066  7 Hg 2.98-3.26, 1 Cd 3.24, 1 Mg 3.28
Cd  0.9867  0.7066  0.9054  7 Hg 2.98-3.26, 1 Cd 3.24, 1 Mg 3.28

Output
Offset from the most stable computed form ... 0.002 eV per atom
Formation energy from the elements ... 0.05 kcal/mol of atoms

Density functional theory data (PBE) for a relaxed Tl2Ga2Sn crystal.

Cell lengths 8.5388, 8.5388, 3.6342 Å; angles 90.00, 90.00, 90.00 degrees
With the nearest neighbours (Å) after each atom.
Fractional coordinates of all 10 atoms:
Sn  0.0000  0.0000  0.0000  4 Tl 3.29, 2 Sn 3.63
Sn  0.5000  0.5000  0.0000  4 Tl 3.29, 2 Sn 3.63
Ga  0.1600  0.6600  0.5000  6 Tl 3.00-3.16
Ga  0.6600  0.8400  0.5000  6 Tl 3.00-3.16
Ga  0.8400  0.3400  0.5000  6 Tl 3.00-3.16
Ga  0.3400  0.1600  0.5000  6 Tl 3.00-3.16
Tl  0.6419  0.1419  0.0000  6 Ga 3.00-3.16, 2 Sn 3.29
Tl  0.3581  0.8581  0.0000  6 Ga 3.00-3.16, 2 Sn 3.29
Tl  0.8581  0.6419  0.0000  6 Ga 3.00-3.16, 2 Sn 3.29
Tl  0.1419  0.3581  0.0000  6 Ga 3.00-3.16, 2 Sn 3.29

Output
Offset from the most stable computed form ... 0.117 eV per atom
Formation energy from the elements ... 3.93 kcal/mol of atoms

Density functional theory data (PBE) for a relaxed Y2Th3Sc2 crystal.

Cell lengths 4.9183, 6.0849, 7.7746 Å; angles 97.19, 90.00, 113.84 degrees
With the nearest neighbours (Å) after each atom.
Fractional coordinates of all 7 atoms:
Y  0.8586  0.7171  0.5710  3 Y 3.48-3.52, 4 Th 3.49-3.53, 5 Sc 3.49-3.54
Y  0.1414  0.2829  0.4290  3 Y 3.48-3.52, 4 Th 3.49-3.53, 5 Sc 3.49-3.54
Th  0.7131  0.4262  0.1384  4 Sc 3.42-3.50, 5 Th 3.44-3.51, 3 Y 3.50-3.53
Th  0.0000  0.0000  0.0000  4 Sc 3.46, 6 Th 3.48-3.51, 2 Y 3.49
Th  0.2869  0.5738  0.8616  4 Sc 3.42-3.50, 5 Th 3.44-3.51, 3 Y 3.50-3.53
Sc  0.4279  0.8559  0.2809  6 Th 3.42-3.50, 5 Y 3.49-3.54, 1 Sc 3.56
Sc  0.5721  0.1441  0.7191  6 Th 3.42-3.50, 5 Y 3.49-3.54, 1 Sc 3.56

Output
Formation energy from the elements ... 0.96 kcal/mol of atoms

Density functional theory data (PBE) for a relaxed YLuTh2 crystal.

Cell lengths 3.5498, 3.5498, 10.0446 Å; angles 90.00, 90.00, 90.00 degrees
With the nearest neighbours (Å) after each atom.
Fractional coordinates of all 4 atoms:
Y  0.5000  0.5000  0.5000  4 Y 3.55, 8 Th 3.58
Th  0.0000  0.0000  0.7545  4 Lu 3.52, 4 Th 3.55, 4 Y 3.58
Th  0.0000  0.0000  0.2455  4 Lu 3.52, 4 Th 3.55, 4 Y 3.58
Lu  0.5000  0.5000  0.0000  8 Th 3.52, 4 Lu 3.55

Output
Offset from the most stable computed form ... 0.004 eV per atom
Formation energy from the elements ... 1.02 kcal/mol of atoms

Density functional theory data (PBE) for a relaxed Ca3Ce2PuP6 crystal.

Cell lengths 7.1381, 7.1381, 7.0428 Å; angles 99.72, 99.72, 119.98 degrees
With the nearest neighbours (Å) after each atom.
Fractional coordinates of all 12 atoms:
Ce  0.3335  0.6665  0.0000  6 P 2.84
Ce  0.6665  0.3335  0.0000  6 P 2.84
Pu  0.0000  0.0000  0.0000  6 P 2.79-2.80
P  0.5950  0.9232  0.7696  1 Pu 2.80, 2 Ce 2.84, 3 Ca 2.96-3.00
P  0.2513  0.2513  0.7706  1 Pu 2.79, 2 Ce 2.84, 3 Ca 2.97-3.01
P  0.0768  0.4050  0.2304  1 Pu 2.80, 2 Ce 2.84, 3 Ca 2.96-3.00
P  0.9232  0.5950  0.7696  1 Pu 2.80, 2 Ce 2.84, 3 Ca 2.96-3.00
P  0.4050  0.0768  0.2304  1 Pu 2.80, 2 Ce 2.84, 3 Ca 2.96-3.00
P  0.7487  0.7487  0.2294  1 Pu 2.79, 2 Ce 2.84, 3 Ca 2.97-3.01
Ca  0.5000  0.5000  0.5000  6 P 2.96-3.01
Ca  0.1676  0.8324  0.5000  6 P 2.96-3.00
Ca  0.8324  0.1676  0.5000  6 P 2.96-3.00

Output
Formation energy from the elements ... -28.18 kcal/mol of atoms

Density functional theory data (PBE) for a relaxed Cu2MoPb crystal.

Cell lengths 3.8382, 3.0013, 6.5761 Å; angles 62.30, 90.00, 90.00 degrees
With the nearest neighbours (Å) after each atom.
Fractional coordinates of all 4 atoms:
Cu  0.0000  0.9608  0.0395  1 Cu 2.45, 4 Mo 2.72-2.73
Cu  0.0000  0.5392  0.4605  1 Cu 2.45, 4 Mo 2.72-2.73
Mo  0.5000  0.2500  0.2500  8 Cu 2.72-2.73, 2 Pb 2.91, 2 Mo 3.00
Pb  0.5000  0.7500  0.7500  2 Mo 2.91, 8 Cu 2.95-2.97, 2 Pb 3.00

Output
Formation energy from the elements ... 11.18 kcal/mol of atoms

| no. | density (Mg/m³) |
| --- | --- |
| 1 | 6.3 |
| 2 | 7.8 |
| 3 | 8.8 |
| 4 | 8.7 |
| 5 | 6.5 |
| 6 | 11.8 |
| 7 | 10.2 |
| 8 | 8.4 |
| 9 | 7.6 |
| 10 | 9.6 |
| 11 | 4.7 |
| 12 | 10.7 |